1.
Here is a relaxed La2Ru2Au crystal from the Alexandria database. Energies are from GGA-PBE.

Cell lengths 7.317, 7.317, 4.188 Å; angles 90.00, 90.00, 90.00 degrees
Positions (direct):
La 0.182 0.318 0.000
La 0.318 0.818 0.000
La 0.682 0.182 0.000
La 0.818 0.682 0.000
Ru 0.126 0.626 0.500
Ru 0.374 0.126 0.500
Ru 0.626 0.874 0.500
Ru 0.874 0.374 0.500
Au 0.000 0.000 0.500
Au 0.500 0.500 0.500

Summary:
Symmetry: P4/mbm (127)
E: -6.62 eV/atom

2.
Here is a relaxed La6RuAu crystal from the Alexandria database. Energies are from GGA-PBE.

Cell lengths 7.913, 7.913, 7.913 Å; angles 52.80, 52.80, 52.80 degrees
Positions (direct):
La 0.062 0.413 0.765
La 0.235 0.938 0.587
La 0.413 0.765 0.062
La 0.587 0.235 0.938
La 0.765 0.062 0.413
La 0.938 0.587 0.235
Ru 0.000 0.000 0.000
Au 0.500 0.500 0.500

Summary:
Symmetry: R-3 (148)
E: -5.49 eV/atom

3.
Here is a relaxed La7Ru2Au2 crystal from the Alexandria database. Energies are from GGA-PBE.

Cell lengths 9.614, 9.614, 9.614 Å; angles 155.67, 67.79, 117.82 degrees
Positions (direct):
La 0.000 0.000 0.000
La 0.072 0.389 0.683
La 0.092 0.738 0.353
La 0.385 0.738 0.647
La 0.463 0.585 0.878
La 0.706 0.389 0.317
La 0.708 0.585 0.122
Ru 0.319 0.071 0.248
Ru 0.823 0.071 0.752
Au 0.322 0.322 0.000
Au 0.744 0.244 0.500

Summary:
Symmetry: Imm2 (44)
E: -5.85 eV/atom

4.
Here is a relaxed LaRuAu2 crystal from the Alexandria database. Energies are from GGA-PBE.

Cell lengths 3.677, 3.677, 6.189 Å; angles 90.00, 90.00, 90.00 degrees
Positions (direct):
La 0.000 0.000 0.000
Ru 0.500 0.500 0.267
Au 0.000 0.000 0.475
Au 0.500 0.500 0.715

Summary:
Symmetry: P4mm (99)
E: -5.29 eV/atom

5.
Here is a relaxed LaRuAu crystal from the Alexandria database. Energies are from GGA-PBE.

Cell lengths 6.686, 6.686, 6.686 Å; angles 90.00, 90.00, 90.00 degrees
Positions (direct):
La 0.000 0.000 0.000
La 0.000 0.500 0.500
La 0.500 0.000 0.500
La 0.500 0.500 0.000
Ru 0.250 0.250 0.250
Ru 0.250 0.750 0.750
Ru 0.750 0.250 0.750
Ru 0.750 0.750 0.250
Au 0.250 0.250 0.750
Au 0.250 0.750 0.250
Au 0.750 0.250 0.250
Au 0.750 0.750 0.750

Summary:
Symmetry: F-43m (216)
E: -5.39 eV/atom

6.
Here is a relaxed La3RuAu2 crystal from the Alexandria database. Energies are from GGA-PBE.

Cell lengths 5.263, 7.518, 8.188 Å; angles 90.00, 108.73, 90.00 degrees
Positions (direct):
La 0.000 0.236 0.000
La 0.000 0.764 0.000
La 0.327 0.234 0.653
La 0.327 0.766 0.653
La 0.673 0.234 0.347
La 0.673 0.766 0.347
Ru 0.178 0.000 0.351
Ru 0.822 0.000 0.649
Au 0.160 0.500 0.321
Au 0.500 0.000 0.000
Au 0.500 0.500 0.000
Au 0.840 0.500 0.679

Summary:
Symmetry: P2/m (10)
E: -5.69 eV/atom

no.,formation energy (eV per formula unit)
1,-1.4
2,-1.8
3,-4.7
4,-0.4
5,1.3
6,-3.5